No. 1
# PBE-GGA Tl5Mo4, optimized geometry
data_Tl5Mo4
_cell_length_a 11.204
_cell_length_b 11.204
_cell_length_c 3.264
_cell_angle_alpha 90.00
_cell_angle_beta 90.00
_cell_angle_gamma 90.00
_space_group_name_H-M_alt 'I 4/m m m'
_space_group_IT_number 139
_space_group_name_Hall '-I 4 2'
loop_
_atom_site_label
_atom_site_fract_x
_atom_site_fract_y
_atom_site_fract_z
Tl1 0.000 0.000 0.000
Tl2 0.168 0.168 0.500
Mo1 0.000 0.369 0.000
# - calculated volume (Å³/atom) = 22.76
# - E above lowest polymorph (meV per atom) = 0
# - mass density (g/cm3) = 11.39
# - energy of formation from the pure elements (eV/atom) = 0.619

No. 2
# PBE-GGA Cs2TlBr6Cl, optimized geometry
data_Cs2TlBr6Cl
_cell_length_a 7.881
_cell_length_b 7.881
_cell_length_c 12.484
_cell_angle_alpha 90.00
_cell_angle_beta 90.00
_cell_angle_gamma 90.00
_space_group_name_H-M_alt 'I 4/m m m'
_space_group_IT_number 139
_space_group_name_Hall '-I 4 2'
loop_
_atom_site_label
_atom_site_fract_x
_atom_site_fract_y
_atom_site_fract_z
Cs1 0.000 0.500 0.250
Tl1 0.000 0.000 0.000
Br1 0.000 0.000 0.224
Br2 0.250 0.250 0.000
Cl1 0.000 0.000 0.500
# - calculated volume (Å³/atom) = 38.77
# - raw formation energy (meV per atom) = -835
# - mass density (g/cm3) = 4.22

No. 3
# PBE-GGA BaCaP, optimized geometry
data_BaCaP
_cell_length_a 7.142
_cell_length_b 7.142
_cell_length_c 7.142
_cell_angle_alpha 90.00
_cell_angle_beta 90.00
_cell_angle_gamma 90.00
_space_group_name_H-M_alt 'F -4 3 m'
_space_group_IT_number 216
_space_group_name_Hall 'F -4 2 3'
loop_
_atom_site_label
_atom_site_fract_x
_atom_site_fract_y
_atom_site_fract_z
Ba1 0.000 0.000 0.000
Ca1 0.250 0.250 0.750
P1 0.000 0.000 0.500
# - calculated volume (Å³/atom) = 30.35
# - mass density (g/cm3) = 3.80
# - energy of formation from the pure elements (eV/atom) = -0.214